(1)
A relaxed PuTh2MnN4 crystal, computed with PBE.

* SG: Cmcm (63)

```
PuTh2MnN4
1.0
-0.076 -2.948 -2.007
4.579 3.453 -2.075
7.592 -5.440 7.701
Pu Th N Mn
2 4 8 2
Direct
0.100 0.201 0.750
0.900 0.799 0.250
0.631 0.261 0.056
0.369 0.739 0.944
0.631 0.261 0.444
0.369 0.739 0.556
0.000 0.000 0.000
0.271 0.543 0.122
0.729 0.457 0.878
0.729 0.457 0.622
0.452 0.904 0.750
0.000 0.000 0.500
0.548 0.096 0.250
0.271 0.543 0.378
0.833 0.665 0.750
0.167 0.335 0.250
```

(2)
A relaxed Pu2ThMnN4 crystal, computed with PBE.

* SG: Cmcm (63)

```
Pu2ThMnN4
1.0
3.389 0.000 0.000
-1.694 5.744 0.000
0.000 0.000 11.530
N Mn Th Pu
8 2 2 4
Direct
0.728 0.456 0.622
0.272 0.544 0.122
0.552 0.104 0.250
0.272 0.544 0.378
0.728 0.456 0.878
0.000 0.000 0.000
0.448 0.896 0.750
0.000 0.000 0.500
0.844 0.689 0.750
0.156 0.311 0.250
0.107 0.214 0.750
0.893 0.786 0.250
0.631 0.263 0.446
0.631 0.263 0.054
0.369 0.737 0.946
0.369 0.737 0.554
```

(3)
A relaxed PuU2MnN5 crystal, computed with PBE.

* SG: P4/mbm (127)

```
PuU2MnN5
1.0
5.533 0.000 0.000
0.000 6.400 0.000
0.000 0.000 6.400
N Pu U Mn
10 2 4 2
Direct
0.761 0.347 0.153
0.239 0.347 0.153
0.761 0.153 0.653
0.761 0.847 0.347
0.500 0.000 0.000
0.239 0.847 0.347
0.239 0.653 0.847
0.500 0.500 0.500
0.761 0.653 0.847
0.239 0.153 0.653
0.000 0.000 0.000
0.000 0.500 0.500
0.500 0.169 0.331
0.500 0.831 0.669
0.500 0.331 0.831
0.500 0.669 0.169
0.000 0.000 0.500
0.000 0.500 0.000
```

(4)
A relaxed Pu2MnVN5 crystal, computed with PBE.

* SG: Cmc2_1 (36)

```
Pu2MnVN5
1.0
-2.695 -1.775 -0.247
3.796 -2.126 -4.938
3.874 -6.696 5.861
N V Pu Mn
10 2 4 2
Direct
0.632 0.264 0.502
0.056 0.113 0.056
0.716 0.433 0.154
0.497 0.994 0.783
0.311 0.623 0.379
0.368 0.736 0.002
0.689 0.377 0.879
0.284 0.567 0.654
0.944 0.887 0.556
0.503 0.006 0.283
0.449 0.898 0.459
0.551 0.102 0.959
0.111 0.223 0.672
0.144 0.289 0.304
0.856 0.711 0.804
0.889 0.777 0.172
0.210 0.420 0.016
0.790 0.580 0.516
```

(5)
A relaxed Pu2MnWN5 crystal, computed with PBE.

* SG: Cmc2_1 (36)

```
Pu2MnWN5
1.0
-2.744 0.983 -1.259
-0.457 -6.553 -0.118
-4.175 0.126 9.195
N Pu W Mn
10 4 2 2
Direct
0.676 0.352 0.873
0.632 0.264 0.497
0.368 0.736 0.997
0.718 0.435 0.151
0.049 0.099 0.059
0.514 0.029 0.280
0.951 0.901 0.559
0.486 0.971 0.780
0.324 0.648 0.373
0.282 0.565 0.651
0.898 0.796 0.188
0.148 0.297 0.307
0.852 0.703 0.807
0.102 0.204 0.688
0.207 0.413 0.014
0.793 0.587 0.514
0.526 0.051 0.956
0.474 0.949 0.456
```

(6)
A relaxed YPu2MnN4 crystal, computed with PBE.

* SG: Cmcm (63)

```
YPu2MnN4
1.0
-2.217 1.422 2.015
-3.093 -3.379 -3.746
0.902 -8.850 7.239
Mn N Pu Y
2 8 4 2
Direct
0.844 0.689 0.750
0.156 0.311 0.250
0.730 0.459 0.623
0.270 0.541 0.123
0.448 0.896 0.750
0.270 0.541 0.377
0.730 0.459 0.877
0.000 0.000 0.000
0.552 0.104 0.250
0.000 0.000 0.500
0.632 0.264 0.447
0.368 0.736 0.553
0.368 0.736 0.947
0.632 0.264 0.053
0.892 0.783 0.250
0.108 0.217 0.750
```

no.,uncorrected formation energy (eV per formula unit)
1,-8.53
2,-9.03
3,-9.65
4,-8.16
5,-7.02
6,-8.43